Below is CaC2 after structural relaxation, with properties calculated at the GGA-PBE level.

```
CaC2
1.0
2.9847 -3.2983 -0.4593
4.2547 0.3591 1.3290
-0.3875 -3.1564 6.7303
Ca C
2 4
Direct
0.7079 0.7079 0.7109
0.2921 0.2921 0.2891
0.4341 0.4341 0.5728
0.5659 0.5659 0.4272
0.0366 0.0366 0.5729
0.9634 0.9634 0.4271
```

Values from the calculation:
Formation energy from the elements: 978 meV per atom



Below is CaC5 after structural relaxation, with properties calculated at the GGA-PBE level.

```
CaC5
1.0
1.2694 8.3812 0.4083
-1.2694 8.3812 0.4083
0.0000 1.1770 3.1228
Ca C
1 5
Direct
0.3552 0.3552 0.4006
0.9480 0.9480 0.7147
0.2262 0.2262 0.1590
0.6793 0.6793 0.2528
0.5864 0.5864 0.4384
0.0382 0.0382 0.5346
```

Values from the calculation:
Formation energy from the elements: 587 meV per atom



Below is CaC5 after structural relaxation, with properties calculated at the GGA-PBE level.

```
CaC5
1.0
1.3021 -8.9248 0.0000
1.3021 8.9248 0.0000
0.0000 0.0000 3.7965
Ca C
1 5
Direct
0.9863 0.0137 0.0000
0.8148 0.1852 0.5000
0.6225 0.3775 0.0000
0.4305 0.5695 0.5000
0.1293 0.8707 0.0000
0.3498 0.6502 0.5000
```

Values from the calculation:
Formation energy from the elements: 1049 meV per atom



Below is Ca4C after structural relaxation, with properties calculated at the GGA-PBE level.

```
Ca4C
1.0
5.3054 0.0000 0.0000
0.0000 5.3054 0.0000
0.0000 0.0000 5.3054
C Ca
1 4
Direct
0.5000 0.5000 0.5000
0.0000 0.0000 0.0000
0.5000 0.0000 0.5000
0.0000 0.5000 0.5000
0.5000 0.5000 0.0000
```

Values from the calculation:
Formation energy from the elements: 254 meV per atom



Below is Ca4C after structural relaxation, with properties calculated at the GGA-PBE level.

```
Ca4C
1.0
-8.7282 1.3859 4.7001
-8.3033 5.5382 0.7596
7.2134 -5.1512 -4.6503
Ca C
4 1
Direct
0.7500 0.2500 0.5000
0.2500 0.7500 0.5000
0.5774 0.5774 0.0000
0.4226 0.4226 0.0000
0.0000 0.0000 0.0000
```

Values from the calculation:
Formation energy from the elements: 1214 meV per atom



Below is Ca2C3 after structural relaxation, with properties calculated at the GGA-PBE level.

```
Ca2C3
1.0
-0.1381 6.6307 4.3364
-1.3164 4.6865 6.2524
1.6366 4.9163 5.9950
Ca C
2 3
Direct
0.4077 0.4077 0.4077
0.5923 0.5923 0.5923
0.0000 0.0000 0.0000
0.8412 0.8412 0.8412
0.1588 0.1588 0.1588
```

Values from the calculation:
Formation energy from the elements: 1050 meV per atom



Below is Ca3CdC after structural relaxation, with properties calculated at the GGA-PBE level.

```
Ca3CdC
1.0
5.1170 0.0000 0.0000
0.0000 5.1170 0.0000
0.0000 0.0000 5.1170
Ca C Cd
3 1 1
Direct
0.0000 0.5000 0.0000
0.0000 0.0000 0.5000
0.5000 0.0000 0.0000
0.0000 0.0000 0.0000
0.5000 0.5000 0.5000
```

Values from the calculation:
Formation energy from the elements: 47 meV per atom



Below is CaCd2C2 after structural relaxation, with properties calculated at the GGA-PBE level.

```
CaCd2C2
1.0
3.9223 0.0000 0.0000
0.0000 3.9223 0.0000
1.9611 1.9611 6.5220
Ca C Cd
1 2 2
Direct
0.0000 0.0000 0.0000
0.4509 0.4509 0.0981
0.5491 0.5491 0.9019
0.7500 0.2500 0.5000
0.2500 0.7500 0.5000
```

Values from the calculation:
Formation energy from the elements: 379 meV per atom



Below is Ca3CdC after structural relaxation, with properties calculated at the GGA-PBE level.

```
Ca3CdC
1.0
3.8476 -0.3900 0.3565
-1.0242 6.9946 -2.1131
0.8927 2.1724 10.2825
Ca Cd C
6 2 2
Direct
0.3219 0.9477 0.2358
0.3337 0.3800 0.6704
0.1548 0.8261 0.5918
0.5573 0.0416 0.8837
0.7362 0.5954 0.9623
0.5691 0.4739 0.3183
0.8389 0.1596 0.4593
0.0521 0.2620 0.0947
0.5880 0.7347 0.7355
0.3030 0.6868 0.8186
```

Values from the calculation:
Formation energy from the elements: -117 meV per atom



Below is CaCdC3 after structural relaxation, with properties calculated at the GGA-PBE level.

```
CaCdC3
1.0
-1.0259 -1.7721 -3.8439
-1.6598 -3.4700 2.0428
-3.8937 1.9461 0.1420
Ca C Cd
1 3 1
Direct
0.5000 0.5000 0.5000
0.0000 0.5000 0.0000
0.0000 0.0000 0.5000
0.5000 0.0000 0.0000
0.0000 0.0000 0.0000
```

Values from the calculation:
Formation energy from the elements: 2500 meV per atom



Below is CaCd2C2 after structural relaxation, with properties calculated at the GGA-PBE level.

```
CaCd2C2
1.0
-4.6457 -3.8833 -3.5274
5.2307 -3.7902 -2.7165
-0.1894 -2.0864 2.5463
Ca C Cd
2 4 4
Direct
0.0000 0.0000 0.0000
0.5000 0.5000 0.0000
0.3335 0.8335 0.0000
0.8335 0.6665 0.0000
0.6665 0.1665 0.0000
0.1665 0.3335 0.0000
0.1404 0.6404 0.5000
0.6404 0.8596 0.5000
0.8596 0.3596 0.5000
0.3596 0.1404 0.5000
```

Values from the calculation:
Formation energy from the elements: 1304 meV per atom



Below is Ca2CrCdC after structural relaxation, with properties calculated at the GGA-PBE level.

```
Ca2CrCdC
1.0
-0.1127 -4.3668 -2.7139
4.4147 0.0399 -0.2475
0.2689 -2.7158 4.3587
Cr Ca C Cd
1 2 1 1
Direct
0.5000 0.5000 0.5000
0.0000 0.0000 0.5000
0.5000 0.0000 0.0000
0.0000 0.0000 0.0000
0.0000 0.5000 0.0000
```

Values from the calculation:
Formation energy from the elements: 573 meV per atom



Below is CaCdC2F after structural relaxation, with properties calculated at the GGA-PBE level.

```
CaCdC2F
1.0
-3.5482 -0.2837 -2.6957
1.4305 -3.6394 -1.4999
-2.2409 -2.1915 3.1802
Ca F C Cd
1 1 2 1
Direct
0.5000 0.5000 0.5000
0.0000 0.0000 0.0000
0.0000 0.0000 0.5000
0.5000 0.0000 0.0000
0.0000 0.5000 0.0000
```

Values from the calculation:
E_form (uncorrected): 150 kJ per mole of atoms



Below is Ca2CdFeC after structural relaxation, with properties calculated at the GGA-PBE level.

```
Ca2CdFeC
1.0
-1.9719 0.2938 4.8227
-2.6152 -4.4448 -0.7985
2.8903 -1.9341 1.2996
C Ca Fe Cd
1 2 1 1
Direct
0.0000 0.0000 0.0000
0.0000 0.5000 0.0000
0.5000 0.0000 0.0000
0.0000 0.0000 0.5000
0.5000 0.5000 0.5000
```

Values from the calculation:
Formation energy from the elements: -6 meV per atom



Below is CaCdFeC after structural relaxation, with properties calculated at the GGA-PBE level.

```
CaCdFeC
1.0
3.6783 0.0000 0.0000
0.0000 3.6783 0.0000
0.0000 0.0000 10.4685
Ca Cd Fe C
2 2 2 2
Direct
0.7500 0.7500 0.2167
0.2500 0.2500 0.7833
0.2500 0.7500 0.5000
0.7500 0.2500 0.5000
0.7500 0.2500 0.0000
0.2500 0.7500 0.0000
0.7500 0.7500 0.9298
0.2500 0.2500 0.0702
```

Values from the calculation:
Formation energy from the elements: 48 meV per atom



Below is CaHfCd2C after structural relaxation, with properties calculated at the GGA-PBE level.

```
CaHfCd2C
1.0
5.4454 0.0000 0.0000
0.0000 4.1254 0.0000
0.0000 0.0000 5.4454
Ca Hf C Cd
1 1 1 2
Direct
0.0000 0.0000 0.0000
0.5000 0.5000 0.5000
0.0000 0.5000 0.0000
0.0000 0.0000 0.5000
0.5000 0.0000 0.0000
```

Values from the calculation:
Formation energy from the elements: 1581 meV per atom



Below is CaCdCI2 after structural relaxation, with properties calculated at the GGA-PBE level.

```
CaCdCI2
1.0
5.7711 0.0000 0.0000
0.0000 6.2447 0.0000
0.0000 0.0000 5.7711
I Ca C Cd
2 1 1 1
Direct
0.0000 0.0000 0.5000
0.5000 0.0000 0.0000
0.0000 0.5000 0.0000
0.5000 0.5000 0.5000
0.0000 0.0000 0.0000
```

Values from the calculation:
E_form (uncorrected): 114 kJ per mole of atoms



Below is CaLa2CdC after structural relaxation, with properties calculated at the GGA-PBE level.

```
CaLa2CdC
1.0
-3.1933 -1.9523 -3.6279
3.5570 -3.6226 -1.1814
-2.0489 -3.1534 3.5004
Ca Cd C La
1 1 1 2
Direct
0.0000 0.0000 0.5000
0.5000 0.5000 0.5000
0.0000 0.0000 0.0000
0.0000 0.5000 0.0000
0.5000 0.0000 0.0000
```

Values from the calculation:
Formation energy from the elements: -109 meV per atom



Below is Ca2MnCdC after structural relaxation, with properties calculated at the GGA-PBE level.

```
Ca2MnCdC
1.0
5.2440 0.0000 0.0000
0.0000 5.2440 0.0000
0.0000 0.0000 3.8417
Ca Mn C Cd
2 1 1 1
Direct
0.0000 0.5000 0.0000
0.5000 0.0000 0.0000
0.0000 0.0000 0.5000
0.0000 0.0000 0.0000
0.5000 0.5000 0.5000
```

Values from the calculation:
Formation energy from the elements: -29 meV per atom



Below is Ca2CdNiC after structural relaxation, with properties calculated at the GGA-PBE level.

```
Ca2CdNiC
1.0
5.2315 0.0000 0.0000
0.0000 5.2315 0.0000
0.0000 0.0000 3.6637
Ni Ca C Cd
1 2 1 1
Direct
0.0000 0.0000 0.5000
0.0000 0.5000 0.0000
0.5000 0.0000 0.0000
0.0000 0.0000 0.0000
0.5000 0.5000 0.5000
```

Values from the calculation:
Formation energy from the elements: -127 meV per atom



Below is Ca3CdC4O12 after structural relaxation, with properties calculated at the GGA-PBE level.

```
Ca3CdC4O12
1.0
6.5311 0.1135 0.1577
-1.4635 6.3661 0.1577
-1.4635 -1.8712 6.0869
Ca Cd C O
3 1 4 12
Direct
0.5228 0.4772 0.0000
0.4772 0.0000 0.5228
0.0000 0.5228 0.4772
0.0000 0.0000 0.0000
0.9775 0.0225 0.5000
0.0225 0.5000 0.9775
0.5000 0.9775 0.0225
0.5000 0.5000 0.5000
0.5000 0.3725 0.6275
0.8958 0.5000 0.1042
0.1042 0.8958 0.5000
0.5000 0.1042 0.8958
0.3689 0.9745 0.1487
0.1487 0.3689 0.9745
0.9745 0.1487 0.3689
0.6311 0.8513 0.0255
0.0255 0.6311 0.8513
0.8513 0.0255 0.6311
0.6275 0.5000 0.3725
0.3725 0.6275 0.5000
```

Values from the calculation:
E_form (uncorrected): -194 kJ per mole of atoms



Below is Ca2CdOsC after structural relaxation, with properties calculated at the GGA-PBE level.

```
Ca2CdOsC
1.0
-1.0726 -4.9899 0.7563
0.1802 -0.8106 -5.0923
3.8308 -0.7839 0.2603
Ca Os C Cd
2 1 1 1
Direct
0.0000 0.5000 0.0000
0.5000 0.0000 0.0000
0.0000 0.0000 0.5000
0.0000 0.0000 0.0000
0.5000 0.5000 0.5000
```

Values from the calculation:
Formation energy from the elements: -62 meV per atom



Below is Ca2CdOsC after structural relaxation, with properties calculated at the GGA-PBE level.

```
Ca2CdOsC
1.0
5.7116 0.0000 0.0000
0.0000 3.8491 0.0000
0.0000 0.0000 5.7116
Ca Os C Cd
2 1 1 1
Direct
0.0000 0.0000 0.5000
0.5000 0.0000 0.0000
0.5000 0.5000 0.5000
0.0000 0.5000 0.0000
0.0000 0.0000 0.0000
```

Values from the calculation:
Formation energy from the elements: 1555 meV per atom



Below is Ca2CdOsC after structural relaxation, with properties calculated at the GGA-PBE level.

```
Ca2CdOsC
1.0
5.4208 0.0000 0.0000
0.0000 5.1405 0.0000
0.0000 0.0000 5.4208
Ca Os C Cd
2 1 1 1
Direct
0.0000 0.0000 0.5000
0.5000 0.0000 0.0000
0.0000 0.0000 0.0000
0.5000 0.5000 0.5000
0.0000 0.5000 0.0000
```

Values from the calculation:
Formation energy from the elements: 1554 meV per atom



Below is Ca2CdReC after structural relaxation, with properties calculated at the GGA-PBE level.

```
Ca2CdReC
1.0
5.6905 0.0000 0.0000
0.0000 3.9698 0.0000
0.0000 0.0000 5.6905
Re Ca C Cd
1 2 1 1
Direct
0.0000 0.0000 0.0000
0.0000 0.0000 0.5000
0.5000 0.0000 0.0000
0.0000 0.5000 0.0000
0.5000 0.5000 0.5000
```

Values from the calculation:
Formation energy from the elements: 644 meV per atom



Below is Ca2CdRhC after structural relaxation, with properties calculated at the GGA-PBE level.

```
Ca2CdRhC
1.0
5.1952 0.0000 0.0000
0.0000 5.1952 0.0000
0.0000 0.0000 3.8968
Ca Rh C Cd
2 1 1 1
Direct
0.0000 0.5000 0.0000
0.5000 0.0000 0.0000
0.0000 0.0000 0.5000
0.0000 0.0000 0.0000
0.5000 0.5000 0.5000
```

Values from the calculation:
Formation energy from the elements: -247 meV per atom



Below is CaCdRh2C after structural relaxation, with properties calculated at the GGA-PBE level.

```
CaCdRh2C
1.0
-3.4150 0.7197 -2.1906
1.6852 -1.8928 -3.2490
-1.8413 -4.1985 1.4910
Ca Rh C Cd
1 2 1 1
Direct
0.0000 0.0000 0.5000
0.0000 0.5000 0.0000
0.5000 0.0000 0.0000
0.0000 0.0000 0.0000
0.5000 0.5000 0.5000
```

Values from the calculation:
Formation energy from the elements: -45 meV per atom



| no. | total energy (eV/atom) | calculated density (Mg/m³) |
| --- | --- | --- |
| 1 | -5.84 | 1.75 |
| 2 | -7.43 | 2.55 |
| 3 | -6.97 | 1.88 |
| 4 | -3.19 | 1.92 |
| 5 | -2.23 | 1.81 |
| 6 | -5.28 | 3.26 |
| 7 | -3.18 | 3.03 |
| 8 | -4.08 | 4.78 |
| 9 | -3.35 | 2.82 |
| 10 | -3.62 | 3.79 |
| 11 | -3.15 | 5.93 |
| 12 | -4.18 | 3.64 |
| 13 | -3.10 | 3.89 |
| 14 | -4.53 | 4.28 |
| 15 | -5.10 | 5.17 |
| 16 | -3.02 | 6.18 |
| 17 | -1.86 | 3.34 |
| 18 | -4.51 | 5.26 |
| 19 | -4.69 | 4.08 |
| 20 | -4.11 | 4.36 |
| 21 | -7.17 | 3.04 |
| 22 | -5.14 | 6.28 |
| 23 | -3.52 | 5.22 |
| 24 | -3.52 | 4.34 |
| 25 | -4.67 | 5.05 |
| 26 | -4.55 | 4.85 |
| 27 | -5.41 | 7.51 |